A geometry-optimized LaTe3Pb structure. Source: Alexandria, functional PBE.

## Properties
- Energy above the lowest structure with this stoichiometry: 0 meV per atom
- E_form (uncorrected): -0.28 eV per atom

Unit cell a=6.098 b=6.098 c=6.098 alpha=90.00 beta=90.00 gamma=90.00
Positions (direct):
La 0.000 0.000 0.000
Te 0.000 0.500 0.000
Te 0.000 0.000 0.500
Te 0.500 0.000 0.000
Pb 0.500 0.500 0.500

***

A geometry-optimized La2TePb structure. Source: Alexandria, functional PBE.

## Properties
- Energy above the lowest structure with this stoichiometry: 109 meV per atom
- E_form (uncorrected): -1.03 eV per atom

Unit cell a=4.590 b=4.590 c=8.395 alpha=74.14 beta=74.14 gamma=60.00
Positions (direct):
La 0.079 0.079 0.764
La 0.256 0.256 0.233
Te 0.498 0.498 0.506
Pb 0.668 0.668 0.997

***

A geometry-optimized La3Te12Pb5 structure. Source: Alexandria, functional PBE.

## Properties
- E_form (uncorrected): -0.63 eV per atom

Unit cell a=16.059 b=16.059 c=16.059 alpha=109.47 beta=109.47 gamma=109.47
Positions (direct):
La 0.875 0.125 0.250
La 0.875 0.750 0.125
La 0.125 0.875 0.750
La 0.375 0.750 0.625
La 0.250 0.125 0.375
La 0.625 0.250 0.375
La 0.750 0.875 0.625
La 0.625 0.375 0.750
La 0.125 0.250 0.875
La 0.750 0.375 0.125
La 0.375 0.625 0.250
La 0.250 0.625 0.875
Te 0.830 0.916 0.056
Te 0.056 0.416 0.830
Te 0.916 0.830 0.556
Te 0.360 0.416 0.086
Te 0.916 0.086 0.860
Te 0.775 0.444 0.360
Te 0.725 0.586 0.170
Te 0.056 0.640 0.725
Te 0.084 0.914 0.140
Te 0.914 0.084 0.640
Te 0.140 0.414 0.084
Te 0.830 0.914 0.275
Te 0.586 0.860 0.416
Te 0.140 0.725 0.556
Te 0.586 0.725 0.670
Te 0.330 0.775 0.414
Te 0.170 0.086 0.725
Te 0.330 0.556 0.416
Te 0.670 0.225 0.586
Te 0.860 0.586 0.916
Te 0.640 0.056 0.225
Te 0.860 0.275 0.444
Te 0.584 0.944 0.670
Te 0.416 0.360 0.586
Te 0.944 0.584 0.170
Te 0.725 0.140 0.056
Te 0.086 0.170 0.225
Te 0.360 0.944 0.775
Te 0.584 0.640 0.414
Te 0.275 0.414 0.830
Te 0.275 0.860 0.944
Te 0.444 0.670 0.084
Te 0.414 0.140 0.584
Te 0.086 0.916 0.360
Te 0.084 0.170 0.444
Te 0.225 0.556 0.640
Te 0.414 0.275 0.330
Te 0.444 0.775 0.860
Te 0.944 0.360 0.275
Te 0.556 0.330 0.916
Te 0.775 0.330 0.914
Te 0.914 0.830 0.775
Te 0.170 0.084 0.944
Te 0.225 0.670 0.086
Te 0.670 0.444 0.584
Te 0.556 0.225 0.140
Te 0.640 0.584 0.914
Te 0.416 0.056 0.330
Pb 0.875 0.250 0.625
Pb 0.625 0.875 0.250
Pb 0.000 0.500 0.000
Pb 0.375 0.250 0.125
Pb 0.750 0.125 0.875
Pb 0.125 0.750 0.375
Pb 0.625 0.750 0.875
Pb 0.500 0.000 0.000
Pb 0.875 0.625 0.750
Pb 0.500 0.500 0.500
Pb 0.125 0.375 0.250
Pb 0.375 0.125 0.750
Pb 0.750 0.625 0.375
Pb 0.500 0.000 0.500
Pb 0.250 0.875 0.125
Pb 0.500 0.500 0.000
Pb 0.000 0.000 0.000
Pb 0.250 0.375 0.625
Pb 0.000 0.500 0.500
Pb 0.000 0.000 0.500

***

A geometry-optimized LaTePb2 structure. Source: Alexandria, functional PBE.

## Properties
- E_form (uncorrected): -0.56 eV per atom

Unit cell a=8.393 b=8.393 c=8.393 alpha=32.33 beta=32.33 gamma=32.33
Positions (direct):
Pb 0.998 0.998 0.998
Pb 0.267 0.267 0.267
La 0.749 0.749 0.749
Te 0.486 0.486 0.486

***

A geometry-optimized LaTePb2 structure. Source: Alexandria, functional PBE.

## Properties
- E_form (uncorrected): -0.53 eV per atom

Unit cell a=6.321 b=6.321 c=6.321 alpha=133.46 beta=136.87 gamma=65.31
Positions (direct):
Pb 0.998 0.998 0.000
Pb 0.254 0.754 0.500
Te 0.500 0.500 0.000
La 0.749 0.249 0.500

***

A geometry-optimized La2TePb structure. Source: Alexandria, functional PBE.

## Properties
- Energy above the lowest structure with this stoichiometry: 116 meV per atom
- E_form (uncorrected): -1.02 eV per atom

Unit cell a=6.545 b=6.545 c=5.108 alpha=89.99 beta=89.99 gamma=37.75
Positions (direct):
La 0.249 0.249 0.375
La 0.002 0.002 0.875
Te 0.740 0.740 0.875
Pb 0.509 0.509 0.375

***

A geometry-optimized La2TePb2 structure. Source: Alexandria, functional PBE.

## Properties
- Energy above the lowest structure with this stoichiometry: 0 meV per atom
- E_form (uncorrected): -0.79 eV per atom

Unit cell a=8.558 b=8.558 c=4.807 alpha=90.00 beta=90.00 gamma=90.00
Positions (direct):
Te 0.500 0.500 0.000
Te 0.000 0.000 0.000
Pb 0.624 0.876 0.500
Pb 0.876 0.376 0.500
Pb 0.376 0.124 0.500
Pb 0.124 0.624 0.500
La 0.824 0.676 0.000
La 0.676 0.176 0.000
La 0.176 0.324 0.000
La 0.324 0.824 0.000

***

A geometry-optimized La2TePb2 structure. Source: Alexandria, functional PBE.

## Properties
- Energy above the lowest structure with this stoichiometry: 55 meV per atom
- E_form (uncorrected): -0.73 eV per atom

Unit cell a=4.393 b=4.393 c=9.197 alpha=76.18 beta=76.18 gamma=90.00
Positions (direct):
Pb 0.750 0.250 0.500
Pb 0.250 0.750 0.500
La 0.399 0.399 0.202
La 0.601 0.601 0.798
Te 0.000 0.000 0.000

***

A geometry-optimized LaTePb2 structure. Source: Alexandria, functional PBE.

## Properties
- E_form (uncorrected): -0.50 eV per atom

Unit cell a=5.634 b=5.634 c=5.634 alpha=60.00 beta=60.00 gamma=60.00
Positions (direct):
Pb 0.000 0.000 0.000
Pb 0.250 0.250 0.250
La 0.500 0.500 0.500
Te 0.750 0.750 0.750

***

A geometry-optimized La2TePb structure. Source: Alexandria, functional PBE.

## Properties
- Energy above the lowest structure with this stoichiometry: 21 meV per atom
- E_form (uncorrected): -1.12 eV per atom

Unit cell a=4.660 b=4.660 c=8.031 alpha=73.10 beta=73.10 gamma=60.07
Positions (direct):
La 0.998 0.998 0.006
La 0.502 0.502 0.494
Te 0.750 0.750 0.750
Pb 0.250 0.250 0.250

***

A geometry-optimized La2TePb structure. Source: Alexandria, functional PBE.

## Properties
- Energy above the lowest structure with this stoichiometry: 275 meV per atom
- E_form (uncorrected): -0.86 eV per atom

Unit cell a=6.730 b=6.730 c=6.730 alpha=139.29 beta=139.34 gamma=58.90
Positions (direct):
La 0.250 0.750 0.500
La 0.000 0.000 0.000
Pb 0.500 0.500 0.000
Te 0.750 0.250 0.500

***

A geometry-optimized La2TePb structure. Source: Alexandria, functional PBE.

## Properties
- Energy above the lowest structure with this stoichiometry: 731 meV per atom
- E_form (uncorrected): -0.41 eV per atom

Unit cell a=5.585 b=5.585 c=5.585 alpha=60.00 beta=60.00 gamma=60.00
Positions (direct):
La 0.250 0.250 0.250
La 0.000 0.000 0.000
Pb 0.500 0.500 0.500
Te 0.750 0.750 0.750

***

What is the E_form (uncorrected) in the sixth record?
-1.02 eV per atom